# ZrPNO2 PBE-GGA relaxed
data_ZrPNO2
_chemical_formula_sum 'Zr1 P1 N1 O2'
_cell_length_a 3.830
_cell_length_b 3.830
_cell_length_c 3.736
_cell_angle_alpha 90.00
_cell_angle_beta 90.00
_cell_angle_gamma 90.00
_space_group_name_H-M_alt 'P 4/m m m'
_space_group_IT_number 123
_space_group_name_Hall '-P 4 2'
loop_
_atom_site_label
_atom_site_fract_x
_atom_site_fract_y
_atom_site_fract_z
_atom_site_occupancy
Zr1 0.000 0.000 0.000 1
P1 0.500 0.500 0.000 1
N1 0.500 0.500 0.500 1
O1 0.000 0.500 0.500 1
# Uncorrected formation energy, kJ/mol of atoms: -0.6
# Theoretical density, g cm⁻³: 5.10
# E_tot, eV per formula unit: -32.232

# SbTe PBE-GGA relaxed
data_SbTe
_chemical_formula_sum 'Sb8 Te8'
_cell_length_a 10.155
_cell_length_b 10.155
_cell_length_c 10.155
_cell_angle_alpha 90.00
_cell_angle_beta 90.00
_cell_angle_gamma 90.00
_space_group_name_H-M_alt 'I -4 3 m'
_space_group_IT_number 217
_space_group_name_Hall 'I -4 2 3'
loop_
_atom_site_label
_atom_site_fract_x
_atom_site_fract_y
_atom_site_fract_z
_atom_site_occupancy
Sb1 0.148 0.148 0.148 1
Te1 0.143 0.143 0.857 1
# Uncorrected formation energy, kJ/mol of atoms: 29.7
# Theoretical density, g cm⁻³: 3.16
# E_tot, eV per formula unit: -6.648
# Distance to the lowest polymorph of the same formula, meV/atom: 412.7

# Li2Pm2DySb2 PBE-GGA relaxed
data_Li2Pm2DySb2
_chemical_formula_sum 'Li6 Pm6 Dy3 Sb6'
_cell_length_a 4.7600
_cell_length_b 4.7600
_cell_length_c 27.0719
_cell_angle_alpha 90.00
_cell_angle_beta 90.00
_cell_angle_gamma 120.00
_space_group_name_H-M_alt 'R -3 m'
_space_group_IT_number 166
_space_group_name_Hall '-R 3 2"'
loop_
_atom_site_label
_atom_site_fract_x
_atom_site_fract_y
_atom_site_fract_z
_atom_site_occupancy
Li1 0.0000 0.0000 0.0991 1
Pm1 0.0000 0.0000 0.3713 1
Dy1 0.0000 0.0000 0.5000 1
Sb1 0.0000 0.0000 0.2320 1
# Uncorrected formation energy, kJ/mol of atoms: -56.0
# Theoretical density, g cm⁻³: 6.66
# E_tot, eV per formula unit: -30.242

# AcCuTe2 PBE-GGA relaxed
data_AcCuTe2
_chemical_formula_sum 'Ac2 Cu2 Te4'
_cell_length_a 4.242
_cell_length_b 4.242
_cell_length_c 13.142
_cell_angle_alpha 90.00
_cell_angle_beta 90.00
_cell_angle_gamma 90.00
_space_group_name_H-M_alt 'I -4 m 2'
_space_group_IT_number 119
_space_group_name_Hall 'I -4 -2'
loop_
_atom_site_label
_atom_site_fract_x
_atom_site_fract_y
_atom_site_fract_z
_atom_site_occupancy
Ac1 0.000 0.000 0.000 1
Cu1 0.000 0.500 0.750 1
Te1 0.000 0.000 0.364 1
# Uncorrected formation energy, kJ/mol of atoms: -87.7
# Theoretical density, g cm⁻³: 7.67
# E_tot, eV per formula unit: -18.123

# Cs4AlGa5 PBE-GGA relaxed
data_Cs4AlGa5
_chemical_formula_sum 'Cs8 Al2 Ga10'
_cell_length_a 16.722
_cell_length_b 6.239
_cell_length_c 12.411
_cell_angle_alpha 90.00
_cell_angle_beta 131.40
_cell_angle_gamma 90.00
_space_group_name_H-M_alt 'C 1 2 1'
_space_group_IT_number 5
loop_
_space_group_symop_operation_xyz
'x,y,z'
'-x,y,-z'
'x+1/2,y+1/2,z'
'-x+1/2,y+1/2,-z'
loop_
_atom_site_label
_atom_site_fract_x
_atom_site_fract_y
_atom_site_fract_z
_atom_site_occupancy
Cs1 0.100 0.000 0.360 1
Cs2 0.225 0.497 0.823 1
Al1 0.000 0.207 0.000 1
Ga1 0.000 0.805 0.000 1
Ga2 0.056 0.508 0.925 1
Ga3 0.156 0.497 0.212 1
# Theoretical density, g cm⁻³: 3.10
# E_tot, eV per formula unit: -23.254

# Si2AgTe PBE-GGA relaxed
data_Si2AgTe
_chemical_formula_sum 'Si2 Ag1 Te1'
_cell_length_a 3.167
_cell_length_b 3.488
_cell_length_c 7.594
_cell_angle_alpha 90.00
_cell_angle_beta 90.00
_cell_angle_gamma 90.00
_space_group_name_H-M_alt 'P m m 2'
_space_group_IT_number 25
loop_
_space_group_symop_operation_xyz
'x,y,z'
'-x,-y,z'
'-x,y,z'
'x,-y,z'
loop_
_atom_site_label
_atom_site_fract_x
_atom_site_fract_y
_atom_site_fract_z
_atom_site_occupancy
Si1 0.000 0.000 0.000 1
Si2 0.500 0.500 0.100 1
Ag1 0.500 0.500 0.748 1
Te1 0.000 0.000 0.476 1
# Uncorrected formation energy, kJ/mol of atoms: 39.1
# Theoretical density, g cm⁻³: 5.77
# E_tot, eV per formula unit: -15.217
# Distance to the lowest polymorph of the same formula, meV/atom: 151.8

# RbNaI2O PBE-GGA relaxed
data_RbNaI2O
_chemical_formula_sum 'Rb1 Na1 I2 O1'
_cell_length_a 6.299
_cell_length_b 6.299
_cell_length_c 4.600
_cell_angle_alpha 90.00
_cell_angle_beta 90.00
_cell_angle_gamma 90.00
_space_group_name_H-M_alt 'P 4/m m m'
_space_group_IT_number 123
_space_group_name_Hall '-P 4 2'
loop_
_atom_site_label
_atom_site_fract_x
_atom_site_fract_y
_atom_site_fract_z
_atom_site_occupancy
Rb1 0.000 0.000 0.000 1
Na1 0.500 0.500 0.500 1
I1 0.000 0.500 0.500 1
O1 0.500 0.500 0.000 1
# Uncorrected formation energy, kJ/mol of atoms: -61.7
# Theoretical density, g cm⁻³: 3.44
# E_tot, eV per formula unit: -13.544
# Distance to the lowest polymorph of the same formula, meV/atom: 0.0

# Ho5HgAu2 PBE-GGA relaxed
data_Ho5HgAu2
_chemical_formula_sum 'Ho20 Hg4 Au8'
_cell_length_a 5.364
_cell_length_b 14.405
_cell_length_c 12.266
_cell_angle_alpha 90.00
_cell_angle_beta 90.00
_cell_angle_gamma 90.00
_space_group_name_H-M_alt 'C m c m'
_space_group_IT_number 63
_space_group_name_Hall '-C 2c 2'
loop_
_atom_site_label
_atom_site_fract_x
_atom_site_fract_y
_atom_site_fract_z
_atom_site_occupancy
Ho1 0.000 0.032 0.120 1
Ho2 0.000 0.207 0.750 1
Ho3 0.000 0.384 0.079 1
Hg1 0.000 0.210 0.250 1
Au1 0.000 0.192 0.516 1
# Theoretical density, g cm⁻³: 9.95
# E_tot, eV per formula unit: -31.777
# Distance to the lowest polymorph of the same formula, meV/atom: 307.5